VASP calculation (PBE) on a relaxed structure of Sr2La2Bi2P.

Properties
D(E_F) = 3.00 states/eV/cell
DFT formation energy = -988 meV per atom
Uncorrected energy = -4.76 eV per atom
Calculated density = 5.57 g/cm³

Lattice parameters (Å, degrees): 9.5415 9.5415 9.5415 146.13 146.13 48.66
Fractional coordinates of all 7 atoms:
Sr: 0.1749 0.1749 0.0000
Sr: 0.8251 0.8251 0.0000
La: 0.0000 0.5000 0.5000
La: 0.5000 0.0000 0.5000
Bi: 0.3698 0.3698 0.0000
Bi: 0.6302 0.6302 0.0000
P: 0.0000 0.0000 0.0000